1.
Here is a relaxed structure of Sr4CaIn from the Alexandria database. Energies are from GGA-PBE.

a b c (Å): 10.504 10.504 10.504
angles (deg): 90.00 90.00 90.00
Space group F-43m (No. 216)
Unique sites:
Sr 0.125 0.125 0.125 [16 per cell]
Ca 0.250 0.250 0.750 [4 per cell]
In 0.000 0.000 0.500 [4 per cell]

Values from the calculation:
ΔH_f (0 K) ... 0.24 eV/atom
V ... 1159 Å³/cell
Calculated density ... 2896 kg/m³
Total DFT energy (no corrections) ... -40.032 eV/cell

---

2.
Here is a relaxed structure of CeSm3Tm2Se6 from the Alexandria database. Energies are from GGA-PBE.

a b c (Å): 7.123 12.382 7.169
angles (deg): 90.00 109.55 90.00
Space group C2/m (No. 12)
Unique sites:
Ce 0.000 0.000 0.000 [2 per cell]
Sm 0.000 0.163 0.500 [4 per cell]
Sm 0.000 0.500 0.500 [2 per cell]
Tm 0.000 0.333 0.000 [4 per cell]
Se 0.236 0.500 0.238 [4 per cell]
Se 0.248 0.328 0.758 [8 per cell]

Values from the calculation:
Formation energy (no corrections) ... -1770 meV per atom
V ... 596 Å³/cell
Calculated density ... 7820 kg/m³
Total DFT energy (no corrections) ... -142.363 eV/cell

---

3.
Here is a relaxed structure of Dy2Si2Pd5 from the Alexandria database. Energies are from GGA-PBE.

a b c (Å): 4.169 4.169 8.986
angles (deg): 90.00 90.00 90.00
Space group P4/mmm (No. 123)
Unique sites:
Dy 0.000 0.000 0.000 [1 per cell]
Dy 0.000 0.000 0.500 [1 per cell]
Si 0.500 0.500 0.131 [2 per cell]
Pd 0.000 0.500 0.268 [4 per cell]
Pd 0.500 0.500 0.500 [1 per cell]

Values from the calculation:
Formation energy (no corrections) ... -952 meV per atom
V ... 156 Å³/cell
Calculated density ... 9711 kg/m³
Total DFT energy (no corrections) ... -54.579 eV/cell

---

4.
Here is a relaxed structure of ScTlSn from the Alexandria database. Energies are from GGA-PBE.

a b c (Å): 3.411 4.850 5.090
angles (deg): 90.00 90.00 90.00
Space group Pmmm (No. 47)
Unique sites:
Sc 0.000 0.000 0.000 [1 per cell]
Tl 0.500 0.000 0.500 [1 per cell]
Sn 0.500 0.500 0.000 [1 per cell]

Values from the calculation:
ΔH_f (0 K) ... -0.23 eV/atom
V ... 84 Å³/cell
Calculated density ... 7258 kg/m³
Total DFT energy (no corrections) ... -13.395 eV/cell

---

5.
Here is a relaxed structure of RbSrLiSn from the Alexandria database. Energies are from GGA-PBE.

a b c (Å): 8.034 8.034 8.034
angles (deg): 90.00 90.00 90.00
Space group F-43m (No. 216)
Unique sites:
Rb 0.000 0.000 0.000 [4 per cell]
Sr 0.250 0.250 0.750 [4 per cell]
Li 0.250 0.250 0.250 [4 per cell]
Sn 0.000 0.000 0.500 [4 per cell]

Values from the calculation:
ΔH_f (0 K) ... -0.23 eV/atom
V ... 519 Å³/cell
Calculated density ... 3827 kg/m³
Total DFT energy (no corrections) ... -37.961 eV/cell

---

6.
Here is a relaxed structure of Tb3Sm2Tm6Zr from the Alexandria database. Energies are from GGA-PBE.

a b c (Å): 6.070 10.502 11.557
angles (deg): 90.00 100.05 90.00
Space group C2/m (No. 12)
Unique sites:
Tb 0.000 0.000 0.000 [2 per cell]
Tb 0.000 0.334 0.000 [4 per cell]
Sm 0.000 0.167 0.500 [4 per cell]
Tm 0.244 0.500 0.254 [4 per cell]
Tm 0.245 0.337 0.746 [8 per cell]
Zr 0.000 0.500 0.500 [2 per cell]

Values from the calculation:
ΔH_f (0 K) ... 0.05 eV/atom
V ... 725 Å³/cell
Calculated density ... 8618 kg/m³
Total DFT energy (no corrections) ... -116.244 eV/cell

---

7.
Here is a relaxed structure of LaCe2WN4 from the Alexandria database. Energies are from GGA-PBE.

a b c (Å): 3.511 12.096 11.985
angles (deg): 90.00 90.00 90.00
Space group Cmcm (No. 63)
Unique sites:
La 0.000 0.112 0.250 [4 per cell]
Ce 0.000 0.368 0.041 [8 per cell]
W 0.000 0.151 0.750 [4 per cell]
N 0.000 0.000 0.000 [4 per cell]
N 0.000 0.265 0.629 [8 per cell]
N 0.000 0.438 0.250 [4 per cell]

Values from the calculation:
Formation energy (no corrections) ... -1072 meV per atom
V ... 509 Å³/cell
Calculated density ... 8599 kg/m³
Total DFT energy (no corrections) ... -286.505 eV/cell

---

8.
Here is a relaxed structure of SrZn9Pt2 from the Alexandria database. Energies are from GGA-PBE.

a b c (Å): 8.4614 8.4614 3.5996
angles (deg): 90.00 90.00 120.00
Space group P6/mmm (No. 191)
Unique sites:
Sr 0.0000 0.0000 0.0000 [1 per cell]
Zn 0.0000 0.5000 0.0000 [3 per cell]
Zn 0.1967 0.3933 0.5000 [6 per cell]
Pt 0.3333 0.6667 0.0000 [2 per cell]

Values from the calculation:
ΔH_f (0 K) ... -0.28 eV/atom
V ... 223 Å³/cell
Calculated density ... 7935 kg/m³
Total DFT energy (no corrections) ... -28.570 eV/cell

---

9.
Here is a relaxed structure of Li2LaMn from the Alexandria database. Energies are from GGA-PBE.

a b c (Å): 3.231 5.280 5.140
angles (deg): 90.00 94.91 90.00
Space group P2/m (No. 10)
Unique sites:
Li 0.210 0.000 0.291 [2 per cell]
La 0.500 0.500 0.000 [1 per cell]
Mn 0.000 0.500 0.500 [1 per cell]

Values from the calculation:
ΔH_f (0 K) ... 0.29 eV/atom
V ... 87 Å³/cell
Calculated density ... 3948 kg/m³
Total DFT energy (no corrections) ... -16.746 eV/cell

---

10.
Here is a relaxed structure of DyHo3Pu2Te6 from the Alexandria database. Energies are from GGA-PBE.

a b c (Å): 19.079 4.350 8.775
angles (deg): 90.00 103.72 90.00
Space group C2/m (No. 12)
Unique sites:
Dy 0.000 0.000 0.000 [2 per cell]
Ho 0.000 0.000 0.500 [2 per cell]
Ho 0.168 0.500 0.834 [4 per cell]
Pu 0.166 0.500 0.333 [4 per cell]
Te 0.003 0.500 0.750 [4 per cell]
Te 0.165 0.000 0.587 [4 per cell]
Te 0.166 0.000 0.079 [4 per cell]

Values from the calculation:
Formation energy (no corrections) ... -1225 meV per atom
V ... 707 Å³/cell
Calculated density ... 8970 kg/m³
Total DFT energy (no corrections) ... -161.108 eV/cell

---

11.
Here is a relaxed structure of Zn2TcNi from the Alexandria database. Energies are from GGA-PBE.

a b c (Å): 2.602 4.087 5.202
angles (deg): 90.00 104.41 90.00
Space group Pm (No. 6)
Unique sites:
Zn 0.000 0.000 0.000 [1 per cell]
Zn 0.386 0.500 0.771 [1 per cell]
Tc 0.742 0.000 0.480 [1 per cell]
Ni 0.140 0.500 0.273 [1 per cell]

Values from the calculation:
ΔH_f (0 K) ... 0.04 eV/atom
V ... 54 Å³/cell
Calculated density ... 8908 kg/m³
Total DFT energy (no corrections) ... -18.552 eV/cell

---

12.
Here is a relaxed structure of Zn2Cu5Ni4 from the Alexandria database. Energies are from GGA-PBE.

a b c (Å): 2.597 5.609 9.241
angles (deg): 90.55 97.92 103.34
Space group P-1 (No. 2)
Unique sites:
Zn 0.232 0.283 0.184 [2 per cell]
Cu 0.320 0.184 0.456 [2 per cell]
Cu 0.415 0.100 0.727 [2 per cell]
Cu 0.500 0.000 0.000 [1 per cell]
Ni 0.046 0.455 0.634 [2 per cell]
Ni 0.138 0.364 0.911 [2 per cell]

Values from the calculation:
ΔH_f (0 K) ... -0.06 eV/atom
V ... 130 Å³/cell
Calculated density ... 8753 kg/m³
Total DFT energy (no corrections) ... -46.792 eV/cell

---

13.
Here is a relaxed structure of HoGe2Pd4 from the Alexandria database. Energies are from GGA-PBE.

a b c (Å): 17.173 4.208 6.693
angles (deg): 90.00 90.00 90.00
Space group Pnma (No. 62)
Unique sites:
Ho 0.140 0.250 0.009 [4 per cell]
Ge 0.043 0.750 0.264 [4 per cell]
Ge 0.221 0.250 0.511 [4 per cell]
Pd 0.026 0.750 0.861 [4 per cell]
Pd 0.074 0.250 0.507 [4 per cell]
Pd 0.188 0.750 0.720 [4 per cell]
Pd 0.190 0.750 0.303 [4 per cell]

Values from the calculation:
ΔH_f (0 K) ... -0.69 eV/atom
V ... 484 Å³/cell
Calculated density ... 10107 kg/m³
Total DFT energy (no corrections) ... -157.694 eV/cell

---

14.
Here is a relaxed structure of SrRe3Sn from the Alexandria database. Energies are from GGA-PBE.

a b c (Å): 5.000 5.000 5.000
angles (deg): 90.00 90.00 90.00
Space group Pm-3m (No. 221)
Unique sites:
Sr 0.000 0.000 0.000 [1 per cell]
Re 0.000 0.500 0.500 [3 per cell]
Sn 0.500 0.500 0.500 [1 per cell]

Values from the calculation:
ΔH_f (0 K) ... 2.20 eV/atom
V ... 125 Å³/cell
Calculated density ... 10164 kg/m³
Total DFT energy (no corrections) ... -32.046 eV/cell

---

15.
Here is a relaxed structure of CdSiSnW2 from the Alexandria database. Energies are from GGA-PBE.

a b c (Å): 5.103 5.103 4.542
angles (deg): 90.00 90.00 90.00
Space group P4/mmm (No. 123)
Unique sites:
Cd 0.000 0.000 0.000 [1 per cell]
Si 0.000 0.000 0.500 [1 per cell]
Sn 0.500 0.500 0.500 [1 per cell]
W 0.000 0.500 0.000 [2 per cell]

Values from the calculation:
Formation energy (no corrections) ... 2356 meV per atom
V ... 118 Å³/cell
Calculated density ... 8801 kg/m³
Total DFT energy (no corrections) ... -24.467 eV/cell

---

16.
Here is a relaxed structure of Pm2ScZn from the Alexandria database. Energies are from GGA-PBE.

a b c (Å): 5.395 5.395 3.653
angles (deg): 90.00 90.00 90.00
Space group P4/mmm (No. 123)
Unique sites:
Pm 0.000 0.500 0.000 [2 per cell]
Sc 0.000 0.000 0.500 [1 per cell]
Zn 0.500 0.500 0.500 [1 per cell]

Values from the calculation:
ΔH_f (0 K) ... -0.06 eV/atom
V ... 106 Å³/cell
Calculated density ... 6252 kg/m³
Total DFT energy (no corrections) ... -17.361 eV/cell

---

17.
Here is a relaxed structure of AcSmYEr from the Alexandria database. Energies are from GGA-PBE.

a b c (Å): 3.525 5.771 7.012
angles (deg): 90.00 90.00 90.00
Space group Pmm2 (No. 25)
Unique sites:
Ac 0.000 0.000 0.000 [1 per cell]
Sm 0.000 0.500 0.283 [1 per cell]
Y 0.000 0.000 0.517 [1 per cell]
Er 0.500 0.500 0.742 [1 per cell]

Values from the calculation:
ΔH_f (0 K) ... 0.22 eV/atom
V ... 143 Å³/cell
Calculated density ... 7375 kg/m³
Total DFT energy (no corrections) ... -18.974 eV/cell

---

18.
Here is a relaxed structure of LiEu2Tl from the Alexandria database. Energies are from GGA-PBE.

a b c (Å): 5.572 5.572 4.021
angles (deg): 90.00 90.00 90.00
Space group P4/mmm (No. 123)
Unique sites:
Li 0.000 0.000 0.000 [1 per cell]
Eu 0.000 0.500 0.500 [2 per cell]
Tl 0.500 0.500 0.000 [1 per cell]

Values from the calculation:
ΔH_f (0 K) ... -0.22 eV/atom
V ... 125 Å³/cell
Calculated density ... 6854 kg/m³
Total DFT energy (no corrections) ... -25.724 eV/cell

---

19.
Here is a relaxed structure of Sr3MoOs from the Alexandria database. Energies are from GGA-PBE.

a b c (Å): 5.787 5.787 5.787
angles (deg): 90.00 90.00 90.00
Space group Pm-3m (No. 221)
Unique sites:
Sr 0.000 0.000 0.500 [3 per cell]
Mo 0.500 0.500 0.500 [1 per cell]
Os 0.000 0.000 0.000 [1 per cell]

Values from the calculation:
ΔH_f (0 K) ... 1.23 eV/atom
V ... 194 Å³/cell
Calculated density ... 4704 kg/m³
Total DFT energy (no corrections) ... -20.976 eV/cell

---

20.
Here is a relaxed structure of KRe from the Alexandria database. Energies are from GGA-PBE.

a b c (Å): 15.160 3.075 8.408
angles (deg): 90.00 107.25 90.00
Space group Cm (No. 8)
Unique sites:
K 0.000 0.000 0.000 [2 per cell]
K 0.026 0.000 0.467 [2 per cell]
K 0.292 0.000 0.627 [2 per cell]
Re 0.206 0.500 0.940 [2 per cell]
Re 0.211 0.500 0.231 [2 per cell]
Re 0.314 0.000 0.137 [2 per cell]

Values from the calculation:
ΔH_f (0 K) ... 1.18 eV/atom
V ... 374 Å³/cell
Calculated density ... 5998 kg/m³
Total DFT energy (no corrections) ... -67.054 eV/cell